# 1
Material: Li2PmNd2Mg5
Method: DFT, PBE
State: relaxed

a = 10.7944 Å, b = 10.7944 Å, c = 4.4606 Å
α = 90.00°, β = 90.00°, γ = 90.00°
Positions (direct):
Li (0.1134, 0.3866, 0.0000)
Li (0.3866, 0.8866, 0.0000)
Li (0.6134, 0.1134, 0.0000)
Li (0.8866, 0.6134, 0.0000)
Pm (0.0000, 0.0000, 0.0000)
Pm (0.5000, 0.5000, 0.0000)
Nd (0.1806, 0.6806, 0.0000)
Nd (0.3194, 0.1806, 0.0000)
Nd (0.6806, 0.8194, 0.0000)
Nd (0.8194, 0.3194, 0.0000)
Mg (0.0000, 0.5000, 0.5000)
Mg (0.0619, 0.2160, 0.5000)
Mg (0.2160, 0.9381, 0.5000)
Mg (0.2840, 0.4381, 0.5000)
Mg (0.4381, 0.7160, 0.5000)
Mg (0.5000, 0.0000, 0.5000)
Mg (0.5619, 0.2840, 0.5000)
Mg (0.7160, 0.5619, 0.5000)
Mg (0.7840, 0.0619, 0.5000)
Mg (0.9381, 0.7840, 0.5000)

Calculated values
Volume ... 519.7 Å³ per cell
Crystal system ... tetragonal
Total DFT energy (no corrections) ... -53.11 eV per cell
Spin magnetization ... 0.00 μB/f.u.
Symmetry ... P4/mbm, No. 127

# 2
Material: LiPrNdMg
Method: DFT, PBE
State: relaxed

a = 7.7635 Å, b = 7.7635 Å, c = 7.7635 Å
α = 90.00°, β = 90.00°, γ = 90.00°
Positions (direct):
Li (0.0000, 0.0000, 0.0000)
Li (0.0000, 0.5000, 0.5000)
Li (0.5000, 0.0000, 0.5000)
Li (0.5000, 0.5000, 0.0000)
Pr (0.2500, 0.2500, 0.7500)
Pr (0.2500, 0.7500, 0.2500)
Pr (0.7500, 0.2500, 0.2500)
Pr (0.7500, 0.7500, 0.7500)
Nd (0.2500, 0.2500, 0.2500)
Nd (0.2500, 0.7500, 0.7500)
Nd (0.7500, 0.2500, 0.7500)
Nd (0.7500, 0.7500, 0.2500)
Mg (0.0000, 0.0000, 0.5000)
Mg (0.0000, 0.5000, 0.0000)
Mg (0.5000, 0.0000, 0.0000)
Mg (0.5000, 0.5000, 0.5000)

Calculated values
Volume ... 467.9 Å³ per cell
Crystal system ... cubic
Total DFT energy (no corrections) ... -52.05 eV per cell
Spin magnetization ... 0.00 μB/f.u.
Symmetry ... F-43m, No. 216

# 3
Material: LiNdMgPt
Method: DFT, PBE
State: relaxed

a = 6.9122 Å, b = 6.9122 Å, c = 6.9122 Å
α = 90.00°, β = 90.00°, γ = 90.00°
Positions (direct):
Li (0.0000, 0.0000, 0.0000)
Li (0.0000, 0.5000, 0.5000)
Li (0.5000, 0.0000, 0.5000)
Li (0.5000, 0.5000, 0.0000)
Nd (0.2500, 0.2500, 0.2500)
Nd (0.2500, 0.7500, 0.7500)
Nd (0.7500, 0.2500, 0.7500)
Nd (0.7500, 0.7500, 0.2500)
Mg (0.2500, 0.2500, 0.7500)
Mg (0.2500, 0.7500, 0.2500)
Mg (0.7500, 0.2500, 0.2500)
Mg (0.7500, 0.7500, 0.7500)
Pt (0.0000, 0.0000, 0.5000)
Pt (0.0000, 0.5000, 0.0000)
Pt (0.5000, 0.0000, 0.0000)
Pt (0.5000, 0.5000, 0.5000)

Calculated values
Volume ... 330.2 Å³ per cell
Crystal system ... cubic
Total DFT energy (no corrections) ... -66.73 eV per cell
Spin magnetization ... 0.00 μB/f.u.
Symmetry ... F-43m, No. 216

# 4
Material: LiNdMgRh
Method: DFT, PBE
State: relaxed

a = 6.8660 Å, b = 6.8660 Å, c = 6.8660 Å
α = 90.00°, β = 90.00°, γ = 90.00°
Positions (direct):
Li (0.0000, 0.0000, 0.0000)
Li (0.0000, 0.5000, 0.5000)
Li (0.5000, 0.0000, 0.5000)
Li (0.5000, 0.5000, 0.0000)
Nd (0.2500, 0.2500, 0.2500)
Nd (0.2500, 0.7500, 0.7500)
Nd (0.7500, 0.2500, 0.7500)
Nd (0.7500, 0.7500, 0.2500)
Mg (0.2500, 0.2500, 0.7500)
Mg (0.2500, 0.7500, 0.2500)
Mg (0.7500, 0.2500, 0.2500)
Mg (0.7500, 0.7500, 0.7500)
Rh (0.0000, 0.0000, 0.5000)
Rh (0.0000, 0.5000, 0.0000)
Rh (0.5000, 0.0000, 0.0000)
Rh (0.5000, 0.5000, 0.5000)

Calculated values
Volume ... 323.7 Å³ per cell
Crystal system ... cubic
Total DFT energy (no corrections) ... -68.14 eV per cell
Spin magnetization ... 0.00 μB/f.u.
Symmetry ... F-43m, No. 216

no.,theoretical density (g/cm³),calculated formation energy (meV/atom)
1,3.6,-47
2,4.5,11
3,7.5,-591
4,5.7,-352